[1]
{
  "formula": "TlCu2TcF8",
  "functional": "GGA-PBE",
  "state": "optimized geometry",
  "dos_ef_per_ev_cell": 4.5,
  "e_form_raw_ev_per_atom": -1.707,
  "density_g_cm3": 4.8,
  "final_energy_ev_per_atom": -4.6984,
  "lattice": [[4.996, -0.366, 0.031], [1.980, 4.601, 0.031], [0.339, 0.206, 8.572]],
  "species": ["Tc", "Tl", "F", "Cu", "F", "F", "F", "F", "F", "F", "Cu", "F"],
  "fractional_positions": [[0.000, 0.000, 0.000], [0.000, 0.000, 0.500], [0.772, 0.233, 0.831], [0.662, 0.662, 0.225], [0.228, 0.767, 0.169], [0.756, 0.756, 0.012], [0.767, 0.228, 0.169], [0.244, 0.244, 0.988], [0.326, 0.326, 0.563], [0.233, 0.772, 0.831], [0.338, 0.338, 0.775], [0.674, 0.674, 0.437]]
}

=====

[2]
{
  "formula": "Ac2HoGa2Pt7",
  "functional": "GGA-PBE",
  "state": "optimized geometry",
  "dos_ef_per_ev_cell": 2.7,
  "ef_ev_per_atom": -1.03,
  "density_g_cm3": 14.1,
  "final_energy_ev_per_atom": -6.1203,
  "lattice": [[-1.349, 3.644, -1.616], [-2.594, -2.073, -2.585], [-11.355, 1.037, 8.480]],
  "species": ["Pt", "Pt", "Ac", "Ho", "Ac", "Pt", "Ga", "Pt", "Pt", "Pt", "Pt", "Ga"],
  "fractional_positions": [[0.956, 0.456, 0.146], [0.500, 0.500, 0.000], [0.905, 0.905, 0.353], [0.000, 0.000, 0.000], [0.095, 0.095, 0.647], [0.456, 0.956, 0.146], [0.427, 0.427, 0.244], [0.544, 0.044, 0.854], [0.044, 0.544, 0.854], [0.601, 0.601, 0.579], [0.399, 0.399, 0.421], [0.573, 0.573, 0.756]]
}

=====

[3]
{
  "formula": "Sr3PdCl2F6",
  "functional": "GGA-PBE",
  "state": "optimized geometry",
  "dos_ef_per_ev_cell": 3.5,
  "e_form_raw_ev_per_atom": -2.697,
  "density_g_cm3": 3.5,
  "final_energy_ev_per_atom": -4.7936,
  "lattice": [[-2.468, 4.399, -1.587], [0.395, -2.404, -7.281], [-6.277, -1.042, 4.052]],
  "species": ["F", "Sr", "F", "F", "F", "F", "Pd", "Cl", "F", "Sr", "Sr", "Cl"],
  "fractional_positions": [[0.302, 0.201, 0.855], [0.000, 0.500, 0.000], [0.302, 0.655, 0.855], [0.361, 0.149, 0.298], [0.698, 0.345, 0.145], [0.639, 0.851, 0.702], [0.500, 0.000, 0.000], [0.880, 0.290, 0.580], [0.698, 0.799, 0.145], [0.500, 0.000, 0.500], [0.500, 0.500, 0.500], [0.120, 0.710, 0.420]]
}

=====

[4]
{
  "formula": "LiCdPtAu",
  "functional": "GGA-PBE",
  "state": "optimized geometry",
  "dos_ef_per_ev_cell": 1.0,
  "ef_ev_per_atom": -0.41,
  "density_g_cm3": 12.6,
  "final_energy_ev_per_atom": -3.4466,
  "lattice": [[4.136, 0.000, 0.000], [0.000, 4.136, 0.000], [-2.068, -2.068, 3.945]],
  "species": ["Pt", "Au", "Cd", "Li"],
  "fractional_positions": [[0.750, 0.250, 0.500], [0.000, 0.000, 0.000], [0.500, 0.500, 0.000], [0.250, 0.750, 0.500]]
}

=====

[5]
{
  "formula": "HfHgF2",
  "functional": "GGA-PBE",
  "state": "optimized geometry",
  "dos_ef_per_ev_cell": 3.4,
  "e_form_raw_ev_per_atom": -1.036,
  "density_g_cm3": 11.3,
  "final_energy_ev_per_atom": -4.5358,
  "polymorph_energy_mev_per_atom": 887,
  "lattice": [[0.000, 3.130, 3.130], [3.130, 0.000, 3.130], [3.130, 3.130, 0.000]],
  "species": ["F", "Hg", "Hf", "F"],
  "fractional_positions": [[0.750, 0.750, 0.750], [0.500, 0.500, 0.500], [0.000, 0.000, 0.000], [0.250, 0.250, 0.250]]
}